No. 1
Material: SrPrAgS3
Method: DFT, PBE
State: relaxed

Calculated values
* magnetization: 0.0 μB/cell
* total energy: -124.72 eV for the cell shown

Cell lengths 10.743, 4.126, 13.364 Å; angles 90.00, 90.00, 90.00 degrees
Atoms (fractional coordinates):
1 Sr 0.216 0.250 0.001
2 Sr 0.284 0.750 0.501
3 Sr 0.716 0.250 0.499
4 Sr 0.784 0.750 0.999
5 Pr 0.018 0.750 0.738
6 Pr 0.482 0.250 0.238
7 Pr 0.518 0.750 0.762
8 Pr 0.982 0.250 0.262
9 Ag 0.233 0.750 0.227
10 Ag 0.267 0.250 0.727
11 Ag 0.733 0.750 0.273
12 Ag 0.767 0.250 0.773
13 S 0.043 0.750 0.115
14 S 0.092 0.250 0.602
15 S 0.239 0.250 0.341
16 S 0.261 0.750 0.841
17 S 0.408 0.750 0.102
18 S 0.457 0.250 0.615
19 S 0.543 0.750 0.385
20 S 0.592 0.250 0.898
21 S 0.739 0.250 0.159
22 S 0.761 0.750 0.659
23 S 0.908 0.750 0.398
24 S 0.957 0.250 0.885

***

No. 2
Material: SrPrAgS3
Method: DFT, PBE
State: relaxed

Calculated values
* magnetization: 0.0 μB/cell
* total energy: -62.30 eV for the cell shown

Cell lengths 9.149, 9.149, 8.446 Å; angles 103.34, 103.34, 25.74 degrees
Atoms (fractional coordinates):
1 Sr 0.130 0.130 0.073
2 Sr 0.870 0.870 0.927
3 Pr 0.165 0.165 0.593
4 Pr 0.835 0.835 0.407
5 Ag 0.478 0.478 0.290
6 Ag 0.522 0.522 0.710
7 S 0.000 0.000 0.500
8 S 0.321 0.321 0.166
9 S 0.330 0.330 0.645
10 S 0.500 0.500 0.000
11 S 0.670 0.670 0.355
12 S 0.679 0.679 0.834

***

No. 3
Material: SrPrAgS3
Method: DFT, PBE
State: relaxed

Calculated values
* magnetization: 0.0 μB/cell
* total energy: -124.29 eV for the cell shown

Cell lengths 13.546, 4.117, 10.872 Å; angles 90.00, 90.00, 90.00 degrees
Atoms (fractional coordinates):
1 Sr 0.229 0.250 0.040
2 Sr 0.271 0.750 0.540
3 Sr 0.729 0.250 0.460
4 Sr 0.771 0.750 0.960
5 Pr 0.016 0.250 0.328
6 Pr 0.484 0.750 0.828
7 Pr 0.516 0.250 0.172
8 Pr 0.984 0.750 0.672
9 Ag 0.002 0.750 0.091
10 Ag 0.498 0.250 0.591
11 Ag 0.502 0.750 0.409
12 Ag 0.998 0.250 0.909
13 S 0.108 0.250 0.565
14 S 0.116 0.750 0.881
15 S 0.146 0.750 0.243
16 S 0.354 0.250 0.743
17 S 0.384 0.250 0.381
18 S 0.392 0.750 0.065
19 S 0.608 0.250 0.935
20 S 0.616 0.750 0.619
21 S 0.646 0.750 0.257
22 S 0.854 0.250 0.757
23 S 0.884 0.250 0.119
24 S 0.892 0.750 0.435

***

No. 4
Material: SrPrAgS3
Method: DFT, PBE
State: relaxed

Calculated values
* magnetization: 0.0 μB/cell
* total energy: -62.12 eV for the cell shown

Cell lengths 7.747, 4.118, 9.764 Å; angles 90.00, 104.37, 90.00 degrees
Atoms (fractional coordinates):
1 Sr 0.236 0.250 0.202
2 Sr 0.764 0.750 0.798
3 Pr 0.205 0.750 0.651
4 Pr 0.795 0.250 0.349
5 Ag 0.403 0.250 0.910
6 Ag 0.597 0.750 0.090
7 S 0.059 0.750 0.353
8 S 0.219 0.750 0.958
9 S 0.462 0.250 0.667
10 S 0.538 0.750 0.333
11 S 0.781 0.250 0.042
12 S 0.941 0.250 0.647

***

No. 5
Material: SrPrAgS3
Method: DFT, PBE
State: relaxed

Calculated values
* magnetization: 0.0 μB/cell
* total energy: -62.30 eV for the cell shown

Cell lengths 7.018, 7.018, 10.691 Å; angles 90.00, 90.00, 145.82 degrees
Atoms (fractional coordinates):
1 Sr 0.248 0.752 0.750
2 Sr 0.752 0.248 0.250
3 Pr 0.000 0.000 0.000
4 Pr 0.000 0.000 0.500
5 Ag 0.475 0.525 0.250
6 Ag 0.525 0.475 0.750
7 S 0.090 0.910 0.250
8 S 0.358 0.642 0.065
9 S 0.358 0.642 0.435
10 S 0.642 0.358 0.565
11 S 0.642 0.358 0.935
12 S 0.910 0.090 0.750

***

No. 6
Material: SrPrAgS3
Method: DFT, PBE
State: relaxed

Calculated values
* magnetization: 0.0 μB/cell
* total energy: -124.14 eV for the cell shown

Cell lengths 11.363, 4.241, 11.904 Å; angles 90.00, 90.00, 90.00 degrees
Atoms (fractional coordinates):
1 Sr 0.179 0.250 0.001
2 Sr 0.321 0.750 0.501
3 Sr 0.679 0.250 0.499
4 Sr 0.821 0.750 0.999
5 Pr 0.012 0.250 0.684
6 Pr 0.488 0.750 0.184
7 Pr 0.512 0.250 0.816
8 Pr 0.988 0.750 0.316
9 Ag 0.247 0.750 0.784
10 Ag 0.253 0.250 0.284
11 Ag 0.747 0.750 0.716
12 Ag 0.753 0.250 0.216
13 S 0.040 0.750 0.859
14 S 0.100 0.250 0.439
15 S 0.225 0.750 0.174
16 S 0.275 0.250 0.674
17 S 0.400 0.750 0.939
18 S 0.460 0.250 0.359
19 S 0.540 0.750 0.641
20 S 0.600 0.250 0.061
21 S 0.725 0.750 0.326
22 S 0.775 0.250 0.826
23 S 0.900 0.750 0.561
24 S 0.960 0.250 0.141

***

No. 7
Material: SrPrAgTeS2
Method: DFT, PBE
State: relaxed

Calculated values
* magnetization: 0.0 μB/cell
* total energy: -58.58 eV for the cell shown

Cell lengths 7.592, 7.592, 11.334 Å; angles 90.00, 90.00, 148.14 degrees
Atoms (fractional coordinates):
1 Sr 0.209 0.791 0.750
2 Sr 0.791 0.209 0.250
3 Pr 0.000 0.000 0.000
4 Pr 0.000 0.000 0.500
5 Ag 0.488 0.512 0.250
6 Ag 0.512 0.488 0.750
7 Te 0.114 0.886 0.250
8 Te 0.886 0.114 0.750
9 S 0.376 0.624 0.078
10 S 0.376 0.624 0.422
11 S 0.624 0.376 0.578
12 S 0.624 0.376 0.922

***

No. 8
Material: TbPrAg2Sb4
Method: DFT, PBE
State: relaxed

Calculated values
* magnetization: 0.0 μB/cell
* total energy: -36.83 eV for the cell shown

Cell lengths 4.385, 4.385, 10.539 Å; angles 90.00, 90.00, 90.00 degrees
Atoms (fractional coordinates):
1 Tb 0.000 0.000 0.000
2 Pr 0.500 0.500 0.524
3 Ag 0.000 0.500 0.256
4 Ag 0.500 0.000 0.256
5 Sb 0.000 0.000 0.436
6 Sb 0.000 0.500 0.767
7 Sb 0.500 0.000 0.767
8 Sb 0.500 0.500 0.075